(1)
Density functional theory data (PBE) for crystalline Mg2CdGa at its relaxed geometry.

```
data_Mg2CdGa
_symmetry_space_group_name_H-M 'F -4 3 m'
_symmetry_Int_Tables_number 216
_symmetry_space_group_name_Hall 'F -4 2 3'
_cell_length_a 6.950
_cell_length_b 6.950
_cell_length_c 6.950
_cell_angle_alpha 90.00
_cell_angle_beta 90.00
_cell_angle_gamma 90.00
loop_
_atom_site_label
_atom_site_type_symbol
_atom_site_fract_x
_atom_site_fract_y
_atom_site_fract_z
Mg1 Mg 0.000 0.000 0.000
Mg2 Mg 0.250 0.250 0.250
Cd1 Cd 0.250 0.250 0.750
Ga1 Ga 0.000 0.000 0.500
```

(2)
Density functional theory data (PBE) for crystalline MgCd2Ga at its relaxed geometry.

```
data_MgCd2Ga
_symmetry_space_group_name_H-M 'F -4 3 m'
_symmetry_Int_Tables_number 216
_symmetry_space_group_name_Hall 'F -4 2 3'
_cell_length_a 6.987
_cell_length_b 6.987
_cell_length_c 6.987
_cell_angle_alpha 90.00
_cell_angle_beta 90.00
_cell_angle_gamma 90.00
loop_
_atom_site_label
_atom_site_type_symbol
_atom_site_fract_x
_atom_site_fract_y
_atom_site_fract_z
Mg1 Mg 0.000 0.000 0.000
Cd1 Cd 0.000 0.000 0.500
Cd2 Cd 0.250 0.250 0.250
Ga1 Ga 0.250 0.250 0.750
```

(3)
Density functional theory data (PBE) for crystalline Nd3Mg3CdGa2 at its relaxed geometry.

Output
* total magnetization: 0.0 μB/f.u.

```
data_Nd3Mg3CdGa2
_symmetry_space_group_name_H-M 'P -6 2 m'
_symmetry_Int_Tables_number 189
_symmetry_space_group_name_Hall 'P -6 -2'
_cell_length_a 7.5291
_cell_length_b 7.5291
_cell_length_c 4.5940
_cell_angle_alpha 90.00
_cell_angle_beta 90.00
_cell_angle_gamma 120.00
loop_
_atom_site_label
_atom_site_type_symbol
_atom_site_fract_x
_atom_site_fract_y
_atom_site_fract_z
Nd1 Nd 0.0000 0.4285 0.0000
Mg1 Mg 0.0000 0.7535 0.5000
Cd1 Cd 0.0000 0.0000 0.0000
Ga1 Ga 0.3333 0.6667 0.5000
```

(4)
Density functional theory data (PBE) for crystalline Nd3Mg3Cd2Ga at its relaxed geometry.

Output
* total magnetization: 0.1 μB/f.u.

```
data_Nd3Mg3Cd2Ga
_symmetry_space_group_name_H-M 'P -6 2 m'
_symmetry_Int_Tables_number 189
_symmetry_space_group_name_Hall 'P -6 -2'
_cell_length_a 7.5664
_cell_length_b 7.5664
_cell_length_c 4.7409
_cell_angle_alpha 90.00
_cell_angle_beta 90.00
_cell_angle_gamma 120.00
loop_
_atom_site_label
_atom_site_type_symbol
_atom_site_fract_x
_atom_site_fract_y
_atom_site_fract_z
Nd1 Nd 0.0000 0.4130 0.0000
Mg1 Mg 0.0000 0.7636 0.5000
Cd1 Cd 0.3333 0.6667 0.5000
Ga1 Ga 0.0000 0.0000 0.0000
```

(5)
Density functional theory data (PBE) for crystalline PrNd2Mg3CdGa2 at its relaxed geometry.

Output
* total magnetization: 0.0 μB/f.u.

```
data_PrNd2Mg3CdGa2
_symmetry_space_group_name_H-M 'A m m 2'
_symmetry_Int_Tables_number 38
_symmetry_space_group_name_Hall 'A 2 -2'
_cell_length_a 4.598
_cell_length_b 13.087
_cell_length_c 7.541
_cell_angle_alpha 90.00
_cell_angle_beta 90.00
_cell_angle_gamma 90.00
loop_
_atom_site_label
_atom_site_type_symbol
_atom_site_fract_x
_atom_site_fract_y
_atom_site_fract_z
Pr1 Pr 0.000 0.000 0.000
Nd1 Nd 0.000 0.214 0.642
Mg1 Mg 0.500 0.000 0.675
Mg2 Mg 0.500 0.124 0.304
Cd1 Cd 0.000 0.000 0.429
Ga1 Ga 0.500 0.167 0.927
```

(6)
Density functional theory data (PBE) for crystalline Pr3Mg3Cd2Ga at its relaxed geometry.

Output
* total magnetization: 0.0 μB/f.u.

```
data_Pr3Mg3Cd2Ga
_symmetry_space_group_name_H-M 'P -6 2 m'
_symmetry_Int_Tables_number 189
_symmetry_space_group_name_Hall 'P -6 -2'
_cell_length_a 7.6404
_cell_length_b 7.6404
_cell_length_c 4.7222
_cell_angle_alpha 90.00
_cell_angle_beta 90.00
_cell_angle_gamma 120.00
loop_
_atom_site_label
_atom_site_type_symbol
_atom_site_fract_x
_atom_site_fract_y
_atom_site_fract_z
Pr1 Pr 0.0000 0.5885 0.0000
Mg1 Mg 0.0000 0.2356 0.5000
Cd1 Cd 0.3333 0.6667 0.5000
Ga1 Ga 0.0000 0.0000 0.0000
```

(7)
Density functional theory data (PBE) for crystalline Pr3Mg3CdGa2 at its relaxed geometry.

Output
* total magnetization: 0.0 μB/f.u.

```
data_Pr3Mg3CdGa2
_symmetry_space_group_name_H-M 'P -6 2 m'
_symmetry_Int_Tables_number 189
_symmetry_space_group_name_Hall 'P -6 -2'
_cell_length_a 7.5682
_cell_length_b 7.5682
_cell_length_c 4.6100
_cell_angle_alpha 90.00
_cell_angle_beta 90.00
_cell_angle_gamma 120.00
loop_
_atom_site_label
_atom_site_type_symbol
_atom_site_fract_x
_atom_site_fract_y
_atom_site_fract_z
Pr1 Pr 0.0000 0.5727 0.0000
Mg1 Mg 0.0000 0.2475 0.5000
Cd1 Cd 0.0000 0.0000 0.0000
Ga1 Ga 0.3333 0.6667 0.5000
```

(8)
Density functional theory data (PBE) for crystalline SrMgCdGa2 at its relaxed geometry.

```
data_SrMgCdGa2
_symmetry_space_group_name_H-M 'I -4 m 2'
_symmetry_Int_Tables_number 119
_symmetry_space_group_name_Hall 'I -4 -2'
_cell_length_a 4.523
_cell_length_b 4.523
_cell_length_c 11.640
_cell_angle_alpha 90.00
_cell_angle_beta 90.00
_cell_angle_gamma 90.00
loop_
_atom_site_label
_atom_site_type_symbol
_atom_site_fract_x
_atom_site_fract_y
_atom_site_fract_z
Sr1 Sr 0.000 0.000 0.000
Mg1 Mg 0.000 0.500 0.750
Cd1 Cd 0.000 0.500 0.250
Ga1 Ga 0.000 0.000 0.392
```

no.,energy (eV per atom)
1,-1.76
2,-1.60
3,-3.31
4,-2.95
5,-3.31
6,-2.96
7,-3.31
8,-2.40